{"formula": "YHgO2", "functional": "PBE-GGA", "state": "optimized geometry", "spacegroup": "I-42d (122)", "magnetic_moment_mub_per_cell": 0.0, "raw_formation_energy_ev_per_atom": -1.9120, "dos_at_fermi_per_ev_atom": 0.225, "lattice": [[-2.728, 2.728, 5.376], [2.728, -2.728, 5.376], [2.728, 2.728, -5.376]], "species": ["Y", "Y", "Hg", "Hg", "O", "O", "O", "O"], "fractional_positions": [[0.000, 0.000, 0.000], [0.750, 0.250, 0.500], [0.250, 0.750, 0.500], [0.500, 0.500, 0.000], [0.062, 0.625, 0.937], [0.375, 0.312, 0.437], [0.688, 0.125, 0.063], [0.875, 0.938, 0.563]]}